[1]
Computed, not measured: an optimized crystal structure of BaB4Mo at the PBE level of DFT.

Volume (Å³ per atom): 11.6
ΔE to the lowest computed polymorph (kcal/mol of atoms): 0.00
Space group: P6/mmm, No. 191

a b c (Å): 3.1229 3.1229 8.2662
angles (deg): 90.00 90.00 120.00
Closest atoms and distances in Å follow each position.
Fractional coordinates of all 6 atoms:
B: 0.3333 0.6667 0.8025  3 B 1.80
B: 0.6667 0.3333 0.1975  3 B 1.80
B: 0.6667 0.3333 0.8025  3 B 1.80
B: 0.3333 0.6667 0.1975  3 B 1.80
Ba: 0.0000 0.0000 0.5000  12 B 3.08, 6 Ba 3.12
Mo: 0.0000 0.0000 0.0000  12 B 2.43

***

[2]
Computed, not measured: an optimized crystal structure of TcAsNO at the PBE level of DFT.

Volume (Å³ per atom): 13.5
ΔE to the lowest computed polymorph (kcal/mol of atoms): 0.00
Space group: Pmc2_1, No. 26

a b c (Å): 2.8069 5.5626 6.9253
angles (deg): 90.00 90.00 90.00
Closest atoms and distances in Å follow each position.
Fractional coordinates of all 8 atoms:
As: 0.0000 0.3572 0.8690  1 N 1.89
As: 0.0000 0.6428 0.3690  1 N 1.89
N: 0.0000 0.2346 0.6146  1 As 1.89, 2 Tc 1.97
N: 0.0000 0.7654 0.1146  1 As 1.89, 2 Tc 1.97
Tc: 0.5000 0.0236 0.5083  2 O 1.88-1.94, 2 N 1.97
Tc: 0.5000 0.9764 0.0083  2 O 1.88-1.94, 2 N 1.97
O: 0.5000 0.8557 0.7541  2 Tc 1.88-1.94
O: 0.5000 0.1443 0.2541  2 Tc 1.88-1.94

***

[3]
Computed, not measured: an optimized crystal structure of UPdW at the PBE level of DFT.

Volume (Å³ per atom): 21.3
ΔE to the lowest computed polymorph (kcal/mol of atoms): 0.00
Space group: F-43m, No. 216
Energy of formation from the pure elements (eV/atom): 0.852

a b c (Å): 4.4878 4.4878 4.4878
angles (deg): 60.00 60.00 60.00
Closest atoms and distances in Å follow each position.
Fractional coordinates of all 3 atoms:
U: 0.2500 0.2500 0.2500  4 Pd 2.75
Pd: 0.0000 0.0000 0.0000  4 W 2.75, 4 U 2.75
W: 0.7500 0.7500 0.7500  4 Pd 2.75

***

[4]
Computed, not measured: an optimized crystal structure of InCuSnPd at the PBE level of DFT.

Volume (Å³ per atom): 18.6
ΔE to the lowest computed polymorph (kcal/mol of atoms): 0.00
Space group: F-43m, No. 216

a b c (Å): 4.7209 4.7209 4.7209
angles (deg): 60.00 60.00 60.00
Closest atoms and distances in Å follow each position.
Fractional coordinates of all 4 atoms:
Sn: 0.0000 0.0000 0.0000  4 Cu 2.89, 4 Pd 2.89
Cu: 0.7500 0.7500 0.7500  4 In 2.89, 4 Sn 2.89
Pd: 0.2500 0.2500 0.2500  4 In 2.89, 4 Sn 2.89
In: 0.5000 0.5000 0.5000  4 Cu 2.89, 4 Pd 2.89

***

[5]
Computed, not measured: an optimized crystal structure of ZnNiN2 at the PBE level of DFT.

Volume (Å³ per atom): 11.0
Space group: Pna2_1, No. 33

a b c (Å): 5.4903 6.3250 5.0818
angles (deg): 90.00 90.00 90.00
Closest atoms and distances in Å follow each position.
Fractional coordinates of all 16 atoms:
N: 0.0710 0.1120 0.3548  2 Ni 1.83-1.87, 2 Zn 2.02
N: 0.4290 0.6120 0.8548  2 Ni 1.83-1.87, 2 Zn 2.02
N: 0.5989 0.8612 0.4004  2 Ni 1.83-1.84, 2 Zn 2.02-2.04
N: 0.0989 0.6388 0.4004  2 Ni 1.83-1.84, 2 Zn 2.02-2.04
N: 0.9011 0.3612 0.9004  2 Ni 1.83-1.84, 2 Zn 2.02-2.04
N: 0.5710 0.3880 0.3548  2 Ni 1.83-1.87, 2 Zn 2.02
N: 0.4011 0.1388 0.9004  2 Ni 1.83-1.84, 2 Zn 2.02-2.04
N: 0.9290 0.8880 0.8548  2 Ni 1.83-1.87, 2 Zn 2.02
Zn: 0.5873 0.8751 0.9995  4 N 2.02-2.04
Zn: 0.0873 0.6249 0.9995  4 N 2.02-2.04
Zn: 0.9127 0.3751 0.4995  4 N 2.02-2.04
Zn: 0.4127 0.1249 0.4995  4 N 2.02-2.04
Ni: 0.5798 0.3729 0.9954  4 N 1.83-1.87
Ni: 0.4202 0.6271 0.4954  4 N 1.83-1.87
Ni: 0.9202 0.8729 0.4954  4 N 1.83-1.87
Ni: 0.0798 0.1271 0.9954  4 N 1.83-1.87

***

[6]
Computed, not measured: an optimized crystal structure of NaTlReTc at the PBE level of DFT.

Volume (Å³ per atom): 17.1
ΔE to the lowest computed polymorph (kcal/mol of atoms): 0.35
Space group: F-43m, No. 216

a b c (Å): 4.5923 4.5923 4.5923
angles (deg): 60.00 60.00 60.00
Closest atoms and distances in Å follow each position.
Fractional coordinates of all 4 atoms:
Tl: 0.5000 0.5000 0.5000  4 Re 2.81, 4 Na 2.81
Tc: 0.0000 0.0000 0.0000  4 Na 2.81, 4 Re 2.81
Na: 0.7500 0.7500 0.7500  4 Tc 2.81, 4 Tl 2.81
Re: 0.2500 0.2500 0.2500  4 Tl 2.81, 4 Tc 2.81

***

Number 1: energy -6.63 eV/atom. Number 2: energy -7.29 eV/atom. Number 3: energy -8.96 eV/atom. Number 4: energy -4.02 eV/atom. Number 5: energy -5.36 eV/atom. Number 6: energy -5.78 eV/atom.